BeBr4: optimized geometry, GGA-PBE.

```
data_BeBr4
_cell_length_a 4.917
_cell_length_b 4.917
_cell_length_c 4.917
_cell_angle_alpha 90.00
_cell_angle_beta 90.00
_cell_angle_gamma 90.00
_symmetry_space_group_name_H-M 'P 1'
_symmetry_Int_Tables_number 1
_symmetry_space_group_name_Hall 'P 1'
loop_
_atom_site_label
_atom_site_fract_x
_atom_site_fract_y
_atom_site_fract_z
_atom_site_occupancy
Be1 0.000 0.000 0.000 1
Br1 0.000 0.000 0.500 1
Br2 0.000 0.500 0.000 1
Br3 0.500 0.000 0.000 1
Br4 0.500 0.500 0.500 1
```

Raw formation energy   0.139 eV per formula unit
Space group   Pm-3m (221)
V   118.9 Å³ per cell



Be2Br: optimized geometry, GGA-PBE.

```
data_Be2Br
_cell_length_a 3.266
_cell_length_b 20.885
_cell_length_c 3.039
_cell_angle_alpha 90.00
_cell_angle_beta 90.00
_cell_angle_gamma 90.00
_symmetry_space_group_name_H-M 'P 1'
_symmetry_Int_Tables_number 1
_symmetry_space_group_name_Hall 'P 1'
loop_
_atom_site_label
_atom_site_fract_x
_atom_site_fract_y
_atom_site_fract_z
_atom_site_occupancy
Be1 0.000 0.044 0.250 1
Be2 0.000 0.251 0.750 1
Be3 0.000 0.749 0.250 1
Be4 0.000 0.956 0.750 1
Be5 0.500 0.249 0.250 1
Be6 0.500 0.456 0.750 1
Be7 0.500 0.544 0.250 1
Be8 0.500 0.751 0.750 1
Br1 0.000 0.395 0.250 1
Br2 0.000 0.605 0.750 1
Br3 0.500 0.105 0.750 1
Br4 0.500 0.895 0.250 1
```

Raw formation energy   1.874 eV per formula unit
Space group   Cmcm (63)
V   207.3 Å³ per cell



BeBr2: optimized geometry, GGA-PBE.

```
data_BeBr2
_cell_length_a 3.298
_cell_length_b 14.621
_cell_length_c 8.924
_cell_angle_alpha 90.00
_cell_angle_beta 90.00
_cell_angle_gamma 90.00
_symmetry_space_group_name_H-M 'P 1'
_symmetry_Int_Tables_number 1
_symmetry_space_group_name_Hall 'P 1'
loop_
_atom_site_label
_atom_site_fract_x
_atom_site_fract_y
_atom_site_fract_z
_atom_site_occupancy
Be1 0.000 0.113 0.250 1
Be2 0.000 0.887 0.750 1
Be3 0.500 0.387 0.750 1
Be4 0.500 0.613 0.250 1
Br1 0.000 0.279 0.750 1
Br2 0.000 0.496 0.750 1
Br3 0.000 0.504 0.250 1
Br4 0.000 0.721 0.250 1
Br5 0.500 0.004 0.250 1
Br6 0.500 0.221 0.250 1
Br7 0.500 0.779 0.750 1
Br8 0.500 0.996 0.750 1
```

Raw formation energy   -2.020 eV per formula unit
Space group   Cmcm (63)
V   430.4 Å³ per cell



BeBr: optimized geometry, GGA-PBE.

```
data_BeBr
_cell_length_a 8.733
_cell_length_b 8.584
_cell_length_c 4.976
_cell_angle_alpha 74.94
_cell_angle_beta 71.67
_cell_angle_gamma 33.38
_symmetry_space_group_name_H-M 'P 1'
_symmetry_Int_Tables_number 1
_symmetry_space_group_name_Hall 'P 1'
loop_
_atom_site_label
_atom_site_fract_x
_atom_site_fract_y
_atom_site_fract_z
_atom_site_occupancy
Be1 0.029 0.029 0.221 1
Be2 0.221 0.221 0.029 1
Be3 0.779 0.779 0.971 1
Be4 0.971 0.971 0.779 1
Br1 0.118 0.632 0.632 1
Br2 0.368 0.882 0.882 1
Br3 0.632 0.118 0.118 1
Br4 0.882 0.368 0.368 1
```

Raw formation energy   0.501 eV per formula unit
Space group   Fddd (70)
V   194.8 Å³ per cell



Be2Br: optimized geometry, GGA-PBE.

```
data_Be2Br
_cell_length_a 3.235
_cell_length_b 20.840
_cell_length_c 3.336
_cell_angle_alpha 90.00
_cell_angle_beta 90.00
_cell_angle_gamma 90.00
_symmetry_space_group_name_H-M 'P 1'
_symmetry_Int_Tables_number 1
_symmetry_space_group_name_Hall 'P 1'
loop_
_atom_site_label
_atom_site_fract_x
_atom_site_fract_y
_atom_site_fract_z
_atom_site_occupancy
Be1 0.000 0.169 0.250 1
Be2 0.000 0.247 0.750 1
Be3 0.000 0.753 0.250 1
Be4 0.000 0.831 0.750 1
Be5 0.500 0.253 0.250 1
Be6 0.500 0.331 0.750 1
Be7 0.500 0.669 0.250 1
Be8 0.500 0.747 0.750 1
Br1 0.000 0.400 0.750 1
Br2 0.000 0.600 0.250 1
Br3 0.500 0.100 0.250 1
Br4 0.500 0.900 0.750 1
```

Raw formation energy   0.253 eV per formula unit
Space group   Cmcm (63)
V   224.9 Å³ per cell



BeBr2: optimized geometry, GGA-PBE.

```
data_BeBr2
_cell_length_a 14.565
_cell_length_b 3.583
_cell_length_c 9.938
_cell_angle_alpha 90.00
_cell_angle_beta 130.78
_cell_angle_gamma 90.00
_symmetry_space_group_name_H-M 'P 1'
_symmetry_Int_Tables_number 1
_symmetry_space_group_name_Hall 'P 1'
loop_
_atom_site_label
_atom_site_fract_x
_atom_site_fract_y
_atom_site_fract_z
_atom_site_occupancy
Be1 0.010 0.000 0.149 1
Be2 0.490 0.500 0.851 1
Be3 0.510 0.500 0.149 1
Be4 0.990 0.000 0.851 1
Br1 0.020 0.500 0.291 1
Br2 0.154 0.000 0.133 1
Br3 0.346 0.500 0.867 1
Br4 0.480 0.000 0.709 1
Br5 0.520 0.000 0.291 1
Br6 0.654 0.500 0.133 1
Br7 0.846 0.000 0.867 1
Br8 0.980 0.500 0.709 1
```

Raw formation energy   -2.979 eV per formula unit
Space group   C2/m (12)
V   392.8 Å³ per cell